[1]
## Ca2Hg2Br (PBE)

Data for a relaxed Ca2Hg2Br crystal.

Values from the calculation:
E in eV/atom: -1.90
Size of the total moment in Bohr magnetons per cell: 0.00
E above lowest polymorph in eV/atom: 0.1243
Space-group type: P4/mbm, No. 127
Energy relative to the elements, uncorrected in eV/atom: -0.642

Cell and atoms, written as POSCAR:
```
Ca2Hg2Br
1.0
8.6393 0.0000 0.0000
0.0000 8.6393 0.0000
0.0000 0.0000 3.9497
Ca Hg Br
4 4 2
direct
0.8284 0.3284 0.5000
0.6716 0.8284 0.5000
0.3284 0.1716 0.5000
0.1716 0.6716 0.5000
0.1251 0.3749 0.0000
0.8749 0.6251 0.0000
0.6251 0.1251 0.0000
0.3749 0.8749 0.0000
0.5000 0.5000 0.0000
0.0000 0.0000 0.0000
```


[2]
## YMnSCl2 (PBE)

Data for a relaxed YMnSCl2 crystal.

Values from the calculation:
E in eV/atom: -5.49
Size of the total moment in Bohr magnetons per cell: 3.67
E above lowest polymorph in eV/atom: 0.1234
Space-group type: P4/mmm, No. 123
Energy relative to the elements, uncorrected in eV/atom: -0.802

Cell and atoms, written as POSCAR:
```
YMnSCl2
1.0
-0.0630 -3.6414 -2.9504
-2.4583 -2.4865 3.1213
-4.1744 1.6628 -1.9630
Cl Y S Mn
2 1 1 1
direct
0.0000 0.5000 0.0000
0.5000 0.0000 0.0000
0.5000 0.5000 0.5000
0.0000 0.0000 0.5000
0.0000 0.0000 0.0000
```


[3]
## NaSi2Ag2 (PBE)

Data for a relaxed NaSi2Ag2 crystal.

Values from the calculation:
E in eV/atom: -3.36
Size of the total moment in Bohr magnetons per cell: 0.00
E above lowest polymorph in eV/atom: 0.1461
Space-group type: I4/mmm, No. 139
Energy relative to the elements, uncorrected in eV/atom: 0.210

Cell and atoms, written as POSCAR:
```
NaSi2Ag2
1.0
3.6831 0.0000 0.0000
0.0000 3.6831 0.0000
1.8415 1.8415 6.9304
Si Ag Na
2 2 1
direct
0.7500 0.2500 0.5000
0.2500 0.7500 0.5000
0.6048 0.6048 0.7904
0.3952 0.3952 0.2096
0.0000 0.0000 0.0000
```


[4]
## LiBiPbS3 (PBE)

Data for a relaxed LiBiPbS3 crystal.

Values from the calculation:
E in eV/atom: -4.27
Size of the total moment in Bohr magnetons per cell: 0.00
Space-group type: P2_1/m, No. 11
Energy relative to the elements, uncorrected in eV/atom: -0.625

Cell and atoms, written as POSCAR:
```
LiBiPbS3
1.0
-0.4664 1.6152 -3.6688
-6.2990 -5.5224 -1.6306
-4.4170 6.5730 3.4554
S Bi Li Pb
6 2 2 2
direct
0.2500 0.5748 0.8294
0.2500 0.7961 0.4928
0.2500 0.1142 0.8722
0.7500 0.8858 0.1278
0.7500 0.2039 0.5072
0.7500 0.4252 0.1706
0.7500 0.3274 0.8331
0.2500 0.6726 0.1669
0.7500 0.9170 0.4138
0.2500 0.0830 0.5862
0.2500 0.1977 0.2372
0.7500 0.8023 0.7628
```